# 1
VASP calculation (PBE) on a relaxed ReRhWI2 crystal.

Output
- magnetization (μB per formula unit) = 1.72
- E_form (uncorrected) (eV per atom) = 2.121
- E (eV/atom) = -5.05
- symmetry = No. 123

The structure in extended XYZ format:
```
5
Lattice="5.287 0.000 0.000 0.000 5.287 0.000 0.000 0.000 4.945" Properties=species:S:1:pos:R:3 pbc="T T T"
Re 0.000 0.000 0.000
Rh 2.643 2.643 2.473
W 2.643 2.643 0.000
I 0.000 2.643 2.473
I 2.643 0.000 2.473
```

---

# 2
VASP calculation (PBE) on a relaxed Re2RuI crystal.

Output
- magnetization (μB per formula unit) = 0.00
- excess energy over the best structure of this formula in the dataset (meV per atom) = 350
- E_form (uncorrected) (eV per atom) = 1.559
- E (eV/atom) = -7.37
- symmetry = No. 122

The structure in extended XYZ format:
```
16
Lattice="5.820 0.000 0.000 0.000 5.820 0.000 0.000 0.000 11.331" Properties=species:S:1:pos:R:3 pbc="T T T"
Re 1.245 1.455 1.416
Re 1.455 4.155 4.249
Re 1.455 4.575 9.915
Re 1.665 1.455 7.082
Re 4.155 4.365 7.082
Re 4.365 1.245 9.915
Re 4.365 1.665 4.249
Re 4.575 4.365 1.416
Ru 0.000 0.000 0.000
Ru 0.000 2.910 2.833
Ru 2.910 0.000 8.498
Ru 2.910 2.910 5.666
I 0.000 0.000 5.666
I 0.000 2.910 8.498
I 2.910 0.000 2.833
I 2.910 2.910 0.000
```

---

# 3
VASP calculation (PBE) on a relaxed Re2RuI crystal.

Output
- magnetization (μB per formula unit) = 0.00
- excess energy over the best structure of this formula in the dataset (meV per atom) = 0
- E_form (uncorrected) (eV per atom) = 1.209
- E (eV/atom) = -7.72
- symmetry = No. 225

The structure in extended XYZ format:
```
16
Lattice="6.388 0.000 0.000 0.000 6.388 0.000 0.000 0.000 6.388" Properties=species:S:1:pos:R:3 pbc="T T T"
Re 1.597 1.597 1.597
Re 1.597 1.597 4.791
Re 1.597 4.791 1.597
Re 1.597 4.791 4.791
Re 4.791 1.597 1.597
Re 4.791 1.597 4.791
Re 4.791 4.791 1.597
Re 4.791 4.791 4.791
Ru 0.000 0.000 0.000
Ru 0.000 3.194 3.194
Ru 3.194 0.000 3.194
Ru 3.194 3.194 0.000
I 0.000 0.000 3.194
I 0.000 3.194 0.000
I 3.194 0.000 0.000
I 3.194 3.194 3.194
```

---

# 4
VASP calculation (PBE) on a relaxed ReSbRuI2 crystal.

Output
- magnetization (μB per formula unit) = 4.94
- excess energy over the best structure of this formula in the dataset (meV per atom) = 0
- E_form (uncorrected) (eV per atom) = 1.524
- E (eV/atom) = -4.27
- symmetry = No. 123

The structure in extended XYZ format:
```
5
Lattice="5.456 0.000 0.000 0.000 5.456 0.000 0.000 0.000 5.055" Properties=species:S:1:pos:R:3 pbc="T T T"
Re 0.000 0.000 0.000
Sb 2.728 2.728 0.000
Ru 2.728 2.728 2.527
I 0.000 2.728 2.527
I 2.728 0.000 2.527
```

---

# 5
VASP calculation (PBE) on a relaxed ReSb2RuI crystal.

Output
- magnetization (μB per formula unit) = 2.48
- E_form (uncorrected) (eV per atom) = 1.461
- E (eV/atom) = -4.84
- symmetry = No. 123

The structure in extended XYZ format:
```
5
Lattice="5.063 0.000 0.000 0.000 5.063 0.000 0.000 0.000 5.733" Properties=species:S:1:pos:R:3 pbc="T T T"
Re 0.000 0.000 0.000
Sb 0.000 2.531 0.000
Sb 2.531 0.000 0.000
Ru 2.531 2.531 2.866
I 0.000 0.000 2.866
```

---

# 6
VASP calculation (PBE) on a relaxed ReTeRuI2 crystal.

Output
- magnetization (μB per formula unit) = 4.59
- excess energy over the best structure of this formula in the dataset (meV per atom) = 0
- E_form (uncorrected) (eV per atom) = 1.470
- E (eV/atom) = -4.12
- symmetry = No. 123

The structure in extended XYZ format:
```
5
Lattice="5.460 0.000 0.000 0.000 5.460 0.000 0.000 0.000 5.117" Properties=species:S:1:pos:R:3 pbc="T T T"
Re 0.000 0.000 0.000
Te 2.730 2.730 0.000
Ru 2.730 2.730 2.558
I 0.000 2.730 2.558
I 2.730 0.000 2.558
```